An optimized crystal structure of CeHfGa4, computed with PBE-GGA.

Computed properties:
As for the spin magnetization: 0.4 μB per formula unit. The formation energy comes out at -0.415 eV/atom. The value obtained for the polymorph energy (0 for the lowest one) is 0.00 kcal/mol of atoms. For the density, the calculation gives 8.42 g/cm³. For the total energy, the calculation gives -5.0809 eV/atom.

CIF file:
```
data_CeHfGa4
_chemical_formula_sum 'Ce2 Hf2 Ga8'
_symmetry_space_group_name_H-M 'I m m m'
_symmetry_Int_Tables_number 71
_symmetry_space_group_name_Hall '-I 2 2'
_cell_length_a 4.230
_cell_length_b 7.252
_cell_length_c 7.685
_cell_angle_alpha 90.00
_cell_angle_beta 90.00
_cell_angle_gamma 90.00
loop_
_atom_site_label
_atom_site_fract_x
_atom_site_fract_y
_atom_site_fract_z
_atom_site_occupancy
Ce1 0.000 0.000 0.000 1
Hf1 0.000 0.000 0.500 1
Ga1 0.000 0.333 0.250 1
```